# 1
Rb2ScF6 | PBE-GGA | optimized geometry

Output
For the formation energy (no corrections), the calculation gives -2.983 eV/atom.

a = 6.3753 Å, b = 6.3753 Å, c = 9.5420 Å
α = 90.00°, β = 90.00°, γ = 120.00°
Space group P6_3mc (No. 186)
Unique sites:
Rb (0.0000, 0.0000, 0.0000) x2
Rb (0.3333, 0.6667, 0.2644) x2
Sc (0.3333, 0.6667, 0.6712) x2
F (0.0436, 0.5218, 0.5361) x6
F (0.1723, 0.3445, 0.7686) x6

=====

# 2
NdNi4Sb4 | PBE-GGA | optimized geometry

Output
For the formation energy (no corrections), the calculation gives -0.302 eV/atom.

a = 6.5519 Å, b = 6.5519 Å, c = 8.2458 Å
α = 90.00°, β = 90.00°, γ = 90.00°
Space group P4_2/nmc (No. 137, origin choice 2)
Unique sites:
Nd (0.2500, 0.7500, 0.2500) x2
Ni (0.0573, 0.2500, 0.0992) x8
Sb (0.0044, 0.2500, 0.4040) x8

=====

# 3
CaNi2W | PBE-GGA | optimized geometry

Output
Its energy above the most stable polymorph in this dataset is 0.42 eV per formula unit. The formation energy is 0.262 eV per atom.

a = 6.6971 Å, b = 6.7022 Å, c = 2.7216 Å
α = 90.00°, β = 90.15°, γ = 90.00°
Space group C2/m (No. 12)
Unique sites:
Ca (0.0000, 0.0000, 0.0000) x2
Ni (0.2500, 0.2500, 0.5000) x4
W (0.0000, 0.5000, 0.0000) x2